The following is a DFT calculation (PBE) of a relaxed structure of Rb2ZrSe.

Summary:
**Total moment**: 0.508 μB per atom
**Density of states at the Fermi level**: 9.3 states/eV per cell
**Formation energy from raw total energies**: -25 meV per atom
**Uncorrected energy**: -3.52 eV per atom

a = 12.9168 Å, b = 12.9168 Å, c = 9.4968 Å
α = 47.15°, β = 47.15°, γ = 90.00°
Last column: magnetic moment on the atom in μB.
Element x y z (fractional)
Se 0.5000 0.5000 0.0000  -0.05
Se 0.2500 0.7500 0.5000  -0.05
Rb 0.4667 0.1250 0.2500  0.01
Rb 0.2833 0.6250 0.2500  0.01
Rb 0.3750 0.5333 0.7500  0.01
Rb 0.8750 0.7167 0.7500  0.01
Zr 0.0000 0.0000 0.0000  1.09
Zr 0.7500 0.2500 0.5000  1.09

=====

The following is a DFT calculation (PBE) of a relaxed structure of LaNd5Te4.

Summary:
**Total moment**: 0.000 μB per atom
**Density of states at the Fermi level**: 20.6 states/eV per cell
**Formation energy from raw total energies**: -878 meV per atom
**Uncorrected energy**: -5.01 eV per atom

a = 7.8149 Å, b = 9.4191 Å, c = 10.1788 Å
α = 90.00°, β = 90.00°, γ = 90.00°
Element x y z (fractional)
La 0.8537 0.0000 0.0000
La 0.1463 0.5000 0.5000
Nd 0.2427 0.7970 0.8059
Nd 0.2427 0.2030 0.8059
Nd 0.7752 0.5000 0.0000
Nd 0.2427 0.7970 0.1941
Nd 0.2427 0.2030 0.1941
Nd 0.7573 0.7030 0.3059
Nd 0.7573 0.2970 0.3059
Nd 0.2248 0.0000 0.5000
Nd 0.7573 0.2970 0.6941
Nd 0.7573 0.7030 0.6941
Te 0.9377 0.0000 0.7040
Te 0.5565 0.7700 0.0000
Te 0.5565 0.2300 0.0000
Te 0.9377 0.0000 0.2960
Te 0.0623 0.5000 0.2040
Te 0.4435 0.7300 0.5000
Te 0.4435 0.2700 0.5000
Te 0.0623 0.5000 0.7960